Density functional theory data (GGA-PBE) for crystalline Ce4AlGa2 at its relaxed geometry.

Lattice parameters (Å, degrees): 5.640 5.640 12.097 90.00 90.00 90.00
Space group I4/mmm (No. 139)
Inequivalent atoms, fractional coordinates:
Ce 0.000 0.500 0.000 [4 per cell]
Ce 0.000 0.500 0.250 [4 per cell]
Al 0.000 0.000 0.000 [2 per cell]
Ga 0.000 0.000 0.381 [4 per cell]

Results
- N(E_F): 22.88 states/eV/f.u.
- ΔE to the lowest computed polymorph: 0.183 eV/atom
- Uncorrected energy: -33.11 eV/f.u.